Na3LaTb2Te6 | PBE | optimized geometry

Computed properties:
* E: -4.430 eV per atom
* energy relative to the elements, uncorrected: -1.348 eV/atom

Cell: 7.8145 7.8145 7.9890 Å, 99.40 99.40 120.02°
Last column: nearest neighbours and their distance in Å.
Positions (direct):
Te 0.2650 0.2650 0.7644  2 Tb 3.13, 3 Na 3.22-3.29, 1 La 3.22
Te 0.9212 0.5778 0.7644  2 Tb 3.12, 1 La 3.22, 3 Na 3.24-3.32
Te 0.7350 0.7350 0.2356  2 Tb 3.13, 3 Na 3.22-3.29, 1 La 3.22
Te 0.0788 0.4222 0.2356  2 Tb 3.12, 1 La 3.22, 3 Na 3.24-3.32
Te 0.4222 0.0788 0.2356  2 Tb 3.12, 1 La 3.22, 3 Na 3.24-3.32
Te 0.5778 0.9212 0.7644  2 Tb 3.12, 1 La 3.22, 3 Na 3.24-3.32
Na 0.1641 0.8359 0.5000  6 Te 3.24-3.32
Na 0.8359 0.1641 0.5000  6 Te 3.24-3.32
Na 0.5000 0.5000 0.5000  6 Te 3.22-3.31
Tb 0.6671 0.3329 0.0000  6 Te 3.12-3.13
Tb 0.3329 0.6671 0.0000  6 Te 3.12-3.13
La 0.0000 0.0000 0.0000  6 Te 3.22